(1)
Compound: CsAlZn2Pt
Source: Alexandria
Functional: PBE
Structure: optimized geometry

The value obtained for the uncorrected energy is -2.889 eV per atom. The calculation puts the formation energy at -0.2524 eV per atom.

The space group is P4/mmm (No. 123) and the conventional cell measures 5.100, 5.100 and 4.845 Å, with angles of 90.00, 90.00 and 90.00 degrees. The distinct sites, in fractional coordinates, are Cs at (0.000, 0.000, 0.000), Al at (0.500, 0.500, 0.000), Zn at (0.000, 0.500, 0.500) and Pt at (0.500, 0.500, 0.500).

***

(2)
Compound: NaLa2V
Source: Alexandria
Functional: PBE
Structure: optimized geometry

The value obtained for the uncorrected energy is -4.341 eV per atom. The energy relative to the lowest polymorph listed for this composition is 1.161 eV/f.u. The calculation puts the formation energy at 0.7318 eV per atom.

The space group is I-42d (No. 122) and the conventional cell measures 8.034, 8.034 and 7.814 Å, with angles of 90.00, 90.00 and 90.00 degrees. The distinct sites, in fractional coordinates, are Na at (0.000, 0.000, 0.000), La at (0.139, 0.250, 0.625) and V at (0.000, 0.000, 0.500).

***

(3)
Compound: Ba2Bi
Source: Alexandria
Functional: PBE
Structure: optimized geometry

The value obtained for the uncorrected energy is -3.178 eV per atom. The calculation puts the formation energy at -0.6026 eV per atom.

The space group is I4/mmm (No. 139) and the conventional cell measures 4.736, 4.736 and 11.327 Å, with angles of 90.00, 90.00 and 90.00 degrees. The distinct sites, in fractional coordinates, are Ba at (0.000, 0.000, 0.152) and Bi at (0.000, 0.000, 0.500).

***

(4)
Compound: HoEr3Tm5
Source: Alexandria
Functional: PBE
Structure: optimized geometry

The value obtained for the uncorrected energy is -4.379 eV per atom. The energy relative to the lowest polymorph listed for this composition is 0.000 eV/f.u. The calculation puts the formation energy at 0.1351 eV per atom.

The space group is Imma (No. 74) and the conventional cell measures 7.130, 17.071 and 9.082 Å, with angles of 90.00, 90.00 and 90.00 degrees. The distinct sites, in fractional coordinates, are Ho at (0.000, 0.250, 0.053), Er at (0.000, 0.062, 0.749), Er at (0.250, 0.250, 0.750), Tm at (0.000, 0.250, 0.413) and Tm at (0.248, 0.088, 0.068).

***

(5)
Compound: TlCrBr2
Source: Alexandria
Functional: PBE
Structure: optimized geometry

The value obtained for the formation energy from raw total energies is -358 meV/atom. The value obtained for the uncorrected energy is -4.191 eV per atom. The energy relative to the lowest polymorph listed for this composition is 0.100 eV/f.u.

The space group is Cm (No. 8) and the conventional cell measures 12.430, 3.628 and 6.283 Å, with angles of 90.00, 118.39 and 90.00 degrees. The distinct sites, in fractional coordinates, are Tl at (0.000, 0.000, 0.000), Cr at (0.231, 0.500, 0.466), Br at (0.149, 0.000, 0.633) and Br at (0.326, 0.000, 0.323).

***

(6)
Compound: FeSbIr2
Source: Alexandria
Functional: PBE
Structure: optimized geometry

The value obtained for the formation energy from raw total energies is 159 meV/atom. The value obtained for the uncorrected energy is -7.418 eV per atom.

The space group is C2/m (No. 12) and the conventional cell measures 8.887, 2.960 and 4.829 Å, with angles of 90.00, 99.81 and 90.00 degrees. The distinct sites, in fractional coordinates, are Fe at (0.000, 0.000, 0.000), Sb at (0.000, 0.500, 0.500) and Ir at (0.244, 0.500, 0.233).

***

(7)
Compound: RbHg2Pd
Source: Alexandria
Functional: PBE
Structure: optimized geometry

The value obtained for the uncorrected energy is -1.893 eV per atom. The energy relative to the lowest polymorph listed for this composition is 0.000 eV/f.u. The calculation puts the formation energy at -0.2020 eV per atom.

The space group is R-3m (No. 166, hexagonal axes) and the conventional cell measures 4.8008, 4.8008 and 18.6063 Å, with angles of 90.00, 90.00 and 120.00 degrees. The distinct sites, in fractional coordinates, are Rb at (0.0000, 0.0000, 0.0000), Hg at (0.0000, 0.0000, 0.2031) and Pd at (0.0000, 0.0000, 0.5000).

***

(8)
Compound: Li8Pd2Pt
Source: Alexandria
Functional: PBE
Structure: optimized geometry

The value obtained for the uncorrected energy is -3.219 eV per atom. The energy relative to the lowest polymorph listed for this composition is 0.000 eV/f.u. The calculation puts the formation energy at -0.3335 eV per atom.

The space group is Immm (No. 71) and the conventional cell measures 4.213, 6.502 and 12.000 Å, with angles of 90.00, 90.00 and 90.00 degrees. The distinct sites, in fractional coordinates, are Li at (0.000, 0.000, 0.152), Li at (0.000, 0.214, 0.353), Li at (0.000, 0.295, 0.000), Pd at (0.000, 0.500, 0.202) and Pt at (0.000, 0.500, 0.500).

***

(9)
Compound: NiAgPb2
Source: Alexandria
Functional: PBE
Structure: optimized geometry

The value obtained for the uncorrected energy is -3.815 eV per atom. The energy relative to the lowest polymorph listed for this composition is 0.093 eV/f.u. The calculation puts the formation energy at 0.1976 eV per atom.

The space group is P4/mmm (No. 123) and the conventional cell measures 3.344, 3.344 and 7.856 Å, with angles of 90.00, 90.00 and 90.00 degrees. The distinct sites, in fractional coordinates, are Ni at (0.000, 0.000, 0.000), Ag at (0.000, 0.000, 0.500) and Pb at (0.500, 0.500, 0.215).

***

(10)
Compound: NdUTe6
Source: Alexandria
Functional: PBE
Structure: optimized geometry

The value obtained for the formation energy from raw total energies is -765 meV/atom. The value obtained for the uncorrected energy is -5.128 eV per atom.

The space group is Amm2 (No. 38) and the conventional cell measures 4.401, 4.397 and 26.767 Å, with angles of 90.00, 90.00 and 90.00 degrees. The distinct sites, in fractional coordinates, are Nd at (0.000, 0.000, 0.000), U at (0.500, 0.000, 0.341), Te at (0.000, 0.000, 0.253), Te at (0.000, 0.000, 0.594), Te at (0.000, 0.000, 0.875), Te at (0.500, 0.000, 0.095), Te at (0.500, 0.000, 0.462) and Te at (0.500, 0.000, 0.753).

***

(11)
Compound: KNi2Se
Source: Alexandria
Functional: PBE
Structure: optimized geometry

The value obtained for the formation energy from raw total energies is 355 meV/atom. The value obtained for the uncorrected energy is -3.682 eV per atom.

The space group is P4/mmm (No. 123) and the conventional cell measures 3.147, 3.147 and 7.750 Å, with angles of 90.00, 90.00 and 90.00 degrees. The distinct sites, in fractional coordinates, are K at (0.000, 0.000, 0.000), Ni at (0.500, 0.500, 0.340) and Se at (0.000, 0.000, 0.500).

***

(12)
Compound: Cs2U3SnSe8
Source: Alexandria
Functional: PBE
Structure: optimized geometry

The value obtained for the formation energy from raw total energies is -1071 meV/atom. The value obtained for the uncorrected energy is -5.889 eV per atom.

The space group is R3m (No. 160, hexagonal axes) and the conventional cell measures 8.4354, 8.4354 and 26.6138 Å, with angles of 90.00, 90.00 and 120.00 degrees. The distinct sites, in fractional coordinates, are Cs at (0.0000, 0.0000, 0.0000), Cs at (0.0000, 0.0000, 0.3551), U at (0.1688, 0.3376, 0.8297), Sn at (0.0000, 0.0000, 0.5981), Se at (0.0000, 0.0000, 0.2217), Se at (0.0000, 0.0000, 0.7749), Se at (0.0241, 0.5120, 0.7740) and Se at (0.1723, 0.3446, 0.5570).